Model A:
## ZrInW (PBE)

Data for a geometry-optimized ZrInW structure.

Summary:
Its density of states at the Fermi level is 1.59 states/eV per atom.

Cell: 4.659 4.659 4.659 Å, 60.00 60.00 60.00°
Site moments in Bohr magnetons follow the coordinates.
Sites, in units of the cell vectors:
Zr: 0.000 0.000 0.000  0.14
In: 0.500 0.500 0.500  -0.01
W: 0.750 0.750 0.750  0.48

=====

Model B:
## ZrInW (PBE)

Data for a geometry-optimized ZrInW structure.

Summary:
Its density of states at the Fermi level is 0.75 states/eV per atom.

Cell: 4.894 4.894 2.852 Å, 90.00 90.00 120.00°
Sites, in units of the cell vectors:
In: 0.000 0.000 0.039
W: 0.333 0.667 0.329
Zr: 0.667 0.333 0.632

=====

Least stable: model A

=====

Model A:
## ZrInW (PBE)

Data for a geometry-optimized ZrInW structure.

Summary:
Its density of states at the Fermi level is 1.06 states/eV per atom.

Cell: 5.384 5.384 5.384 Å, 141.60 141.55 55.47°
Sites, in units of the cell vectors:
W: 0.327 0.327 0.000
Zr: 0.679 0.679 0.000
In: 0.994 0.994 0.000

=====

Model B:
## ZrInW (PBE)

Data for a geometry-optimized ZrInW structure.

Summary:
Its density of states at the Fermi level is 0.94 states/eV per atom.

Cell: 7.456 7.282 2.977 Å, 81.65 75.08 23.27°
Sites, in units of the cell vectors:
W: 0.669 0.669 0.331
In: 0.006 0.006 0.994
Zr: 0.325 0.325 0.675

=====

Model C:
## ZrInW (PBE)

Data for a geometry-optimized ZrInW structure.

Summary:
Its density of states at the Fermi level is 1.03 states/eV per atom.

Cell: 7.298 7.298 7.298 Å, 156.94 156.94 32.84°
Sites, in units of the cell vectors:
Zr: 0.672 0.672 0.000
In: 0.993 0.993 0.000
W: 0.335 0.335 0.000

=====

Least stable: model C

=====

Model A:
## Zr2In2W (PBE)

Data for a geometry-optimized Zr2In2W structure.

Summary:
Its density of states at the Fermi level is 0.79 states/eV per atom.

Cell: 7.380 7.380 3.896 Å, 90.00 90.00 90.00°
Sites, in units of the cell vectors:
Zr: 0.825 0.325 0.500
Zr: 0.675 0.825 0.500
Zr: 0.325 0.175 0.500
Zr: 0.175 0.675 0.500
W: 0.500 0.500 0.000
W: 0.000 0.000 0.000
In: 0.368 0.868 0.000
In: 0.868 0.632 0.000
In: 0.632 0.132 0.000
In: 0.132 0.368 0.000

=====

Model B:
## Zr2In2W (PBE)

Data for a geometry-optimized Zr2In2W structure.

Summary:
Its density of states at the Fermi level is 0.76 states/eV per atom.

Cell: 3.956 3.956 7.566 Å, 74.85 74.85 90.00°
Sites, in units of the cell vectors:
Zr: 0.250 0.750 0.500
Zr: 0.750 0.250 0.500
In: 0.407 0.407 0.186
In: 0.593 0.593 0.814
W: 0.000 0.000 0.000

=====

Least stable: model B

=====

Model A:
## ZrInW3 (PBE)

Data for a geometry-optimized ZrInW3 structure.

Summary:
Its density of states at the Fermi level is 1.07 states/eV per atom.

Cell: 4.845 4.845 4.845 Å, 90.00 90.00 90.00°
Sites, in units of the cell vectors:
W: 0.000 0.000 0.500
W: 0.000 0.500 0.000
W: 0.500 0.000 0.000
Zr: 0.000 0.000 0.000
In: 0.500 0.500 0.500

=====

Model B:
## ZrInW3 (PBE)

Data for a geometry-optimized ZrInW3 structure.

Summary:
Its density of states at the Fermi level is 1.65 states/eV per atom.

Cell: 4.862 4.862 4.862 Å, 90.00 90.00 90.00°
Sites, in units of the cell vectors:
In: 0.000 0.000 0.000
W: 0.000 0.000 0.500
W: 0.500 0.000 0.000
W: 0.000 0.500 0.000
Zr: 0.500 0.500 0.500

=====

Least stable: model B

=====

Model A:
## Y3In4 (PBE)

Data for a geometry-optimized Y3In4 structure.

Summary:
Its density of states at the Fermi level is 1.07 states/eV per atom.

Cell: 6.508 6.508 5.587 Å, 90.00 90.00 120.00°
Sites, in units of the cell vectors:
In: 0.667 0.333 0.500
In: 0.000 0.000 0.753
In: 0.333 0.667 0.500
In: 0.000 0.000 0.247
Y: 0.000 0.500 0.000
Y: 0.500 0.000 0.000
Y: 0.500 0.500 0.000

=====

Model B:
## Y3In4 (PBE)

Data for a geometry-optimized Y3In4 structure.

Summary:
Its density of states at the Fermi level is 0.75 states/eV per atom.

Cell: 4.832 3.696 10.904 Å, 99.76 102.80 90.00°
Site moments in Bohr magnetons follow the coordinates.
Sites, in units of the cell vectors:
Y: 0.198 0.198 0.396  0.18
Y: 0.500 0.000 0.000  0.02
Y: 0.802 0.802 0.604  0.18
In: 0.932 0.432 0.864  0.00
In: 0.648 0.648 0.297  0.00
In: 0.068 0.568 0.136  0.00
In: 0.352 0.352 0.703  0.00

=====

Least stable: model A

=====

Model A:
## YIn4 (PBE)

Data for a geometry-optimized YIn4 structure.

Summary:
Its density of states at the Fermi level is 0.64 states/eV per atom.

Cell: 5.124 6.519 5.124 Å, 113.14 90.00 113.14°
Sites, in units of the cell vectors:
In: 0.375 0.750 0.375
In: 0.250 0.500 0.750
In: 0.625 0.250 0.625
In: 0.750 0.500 0.250
Y: 0.000 0.000 0.000

=====

Model B:
## YIn4 (PBE)

Data for a geometry-optimized YIn4 structure.

Summary:
Its density of states at the Fermi level is 1.63 states/eV per atom.

Cell: 6.116 6.116 6.116 Å, 109.47 109.47 109.47°
Sites, in units of the cell vectors:
In: 0.500 0.500 0.500
In: 0.000 0.500 0.000
In: 0.500 0.000 0.000
In: 0.000 0.000 0.500
Y: 0.000 0.000 0.000

=====

Model C:
## YIn4 (PBE)

Data for a geometry-optimized YIn4 structure.

Summary:
Its density of states at the Fermi level is 0.95 states/eV per atom.

Cell: 5.887 5.887 5.887 Å, 90.00 90.00 90.00°
Sites, in units of the cell vectors:
Y: 0.500 0.500 0.500
In: 0.500 0.000 0.500
In: 0.000 0.000 0.000
In: 0.000 0.500 0.500
In: 0.500 0.500 0.000

=====

Least stable: model C